# 1
Entry from Alexandria: a relaxed structure of Mg2RuRh (GGA-PBE).

Structure (extended XYZ):
```
4
Lattice="2.7806 0.0000 0.0000 0.0000 4.2781 0.0000 -0.5809 0.0000 5.2029" Properties=species:S:1:pos:R:3 pbc="T T T"
Mg 0.5292 0.0000 1.3036
Mg 1.6705 0.0000 3.8994
Ru 1.3903 2.1391 0.0000
Rh -0.2904 2.1391 2.6015
```

## Properties
Density in g/cm3: 6.8
Formation enthalpy at 0 K in eV/atom: -0.06
Space-group type: P2/m


# 2
Entry from Alexandria: a relaxed structure of MgRu2Rh (GGA-PBE).

Structure (extended XYZ):
```
4
Lattice="2.7813 0.0000 0.0000 0.0000 3.7853 0.0000 0.0000 0.0000 5.5689" Properties=species:S:1:pos:R:3 pbc="T T T"
Mg 0.0000 0.0000 0.0000
Ru 0.0000 0.0000 2.8157
Ru 1.3907 1.8927 4.0083
Rh 1.3907 1.8927 1.3101
```

## Properties
Density in g/cm3: 9.3
Formation enthalpy at 0 K in eV/atom: 0.01
Space-group type: Pmm2


# 3
Entry from Alexandria: a relaxed structure of MgRuRh3 (GGA-PBE).

Structure (extended XYZ):
```
5
Lattice="4.6798 0.0000 0.0000 0.0000 4.6798 0.0000 0.0000 0.0000 4.6798" Properties=species:S:1:pos:R:3 pbc="T T T"
Mg 0.0000 0.0000 0.0000
Ru 2.3399 2.3399 2.3399
Rh 0.0000 2.3399 2.3399
Rh 2.3399 0.0000 2.3399
Rh 2.3399 2.3399 0.0000
```

## Properties
Offset from the most stable computed form in eV/atom: 0.0000
Density in g/cm3: 7.0
Formation enthalpy at 0 K in eV/atom: 0.96
Space-group type: Pm-3m


# 4
Entry from Alexandria: a relaxed structure of MgRu2Rh (GGA-PBE).

Structure (extended XYZ):
```
4
Lattice="2.6055 -4.1055 0.0000 2.6055 4.1055 0.0000 0.0000 0.0000 2.7281" Properties=species:S:1:pos:R:3 pbc="T T T"
Mg 0.0000 0.0000 0.0000
Ru 1.3028 2.0527 1.3640
Ru 1.3028 -2.0527 1.3640
Rh 2.6055 0.0000 0.0000
```

## Properties
Density in g/cm3: 9.4
Formation enthalpy at 0 K in eV/atom: 0.10
Space-group type: Cmmm


Quick rundown of calculated volume, same order as above: 15.5; 14.7; 20.5; 14.6 Å³ per atom